VASP calculation (PBE-GGA) on a relaxed Y5Ta2O12 crystal.

Summary:
* uncorrected formation energy: -320.7 kJ/mol of atoms

Cell lengths 5.907, 6.899, 7.447 Å; angles 105.73, 90.00, 115.35 degrees
Positions (direct):
O 0.900 0.330 0.085
O 0.430 0.330 0.085
O 0.096 0.692 0.426
O 0.570 0.670 0.915
O 0.100 0.670 0.915
O 0.499 0.998 0.194
O 0.595 0.692 0.426
O 0.904 0.308 0.574
O 0.001 0.002 0.806
O 0.999 0.998 0.194
O 0.405 0.308 0.574
O 0.501 0.002 0.806
Y 0.000 0.000 0.500
Y 0.692 0.383 0.825
Y 0.301 0.603 0.637
Y 0.308 0.617 0.175
Y 0.699 0.397 0.363
Ta 0.241 0.000 0.000
Ta 0.759 0.000 0.000